# GGA-PBE NaTmO3, optimized geometry
data_NaTmO3
_chemical_formula_sum 'Na2 Tm2 O6'
_cell_length_a 5.796
_cell_length_b 5.796
_cell_length_c 5.796
_cell_angle_alpha 61.11
_cell_angle_beta 61.11
_cell_angle_gamma 61.11
_space_group_name_H-M_alt 'P 1'
_space_group_IT_number 1
loop_
_space_group_symop_operation_xyz
'x,y,z'
loop_
_atom_site_label
_atom_site_type_symbol
_atom_site_fract_x
_atom_site_fract_y
_atom_site_fract_z
Na1 Na 0.250 0.250 0.250
Na2 Na 0.750 0.750 0.750
Tm1 Tm 0.000 0.000 0.000
Tm2 Tm 0.500 0.500 0.500
O1 O 0.136 0.750 0.364
O2 O 0.250 0.636 0.864
O3 O 0.364 0.136 0.750
O4 O 0.636 0.864 0.250
O5 O 0.750 0.364 0.136
O6 O 0.864 0.250 0.636
# **Calculated density**: 5.65 Mg/m³
# **Magnetization**: 4.000 μB/cell
# **Crystal system**: trigonal
# **Symmetry**: R-3c (167)
# **Electronic total energy**: -5.983 eV per atom

# GGA-PBE NaTm2O4, optimized geometry
data_NaTm2O4
_chemical_formula_sum 'Na2 Tm4 O8'
_cell_length_a 6.718
_cell_length_b 6.718
_cell_length_c 6.718
_cell_angle_alpha 60.00
_cell_angle_beta 60.00
_cell_angle_gamma 60.00
_space_group_name_H-M_alt 'P 1'
_space_group_IT_number 1
loop_
_space_group_symop_operation_xyz
'x,y,z'
loop_
_atom_site_label
_atom_site_type_symbol
_atom_site_fract_x
_atom_site_fract_y
_atom_site_fract_z
Na1 Na 0.125 0.125 0.125
Na2 Na 0.875 0.875 0.875
Tm1 Tm 0.000 0.500 0.500
Tm2 Tm 0.500 0.000 0.500
Tm3 Tm 0.500 0.500 0.000
Tm4 Tm 0.500 0.500 0.500
O1 O 0.267 0.267 0.267
O2 O 0.267 0.267 0.700
O3 O 0.267 0.700 0.267
O4 O 0.300 0.733 0.733
O5 O 0.700 0.267 0.267
O6 O 0.733 0.300 0.733
O7 O 0.733 0.733 0.300
O8 O 0.733 0.733 0.733
# **Calculated density**: 6.58 Mg/m³
# **Magnetization**: 2.000 μB/cell
# **Crystal system**: cubic
# **Symmetry**: Fd-3m (227)
# **Electronic total energy**: -7.068 eV per atom

# GGA-PBE NaYZnO3, optimized geometry
data_NaYZnO3
_chemical_formula_sum 'Na2 Y2 Zn2 O6'
_cell_length_a 5.533
_cell_length_b 5.533
_cell_length_c 9.249
_cell_angle_alpha 90.00
_cell_angle_beta 90.00
_cell_angle_gamma 143.58
_space_group_name_H-M_alt 'P 1'
_space_group_IT_number 1
loop_
_space_group_symop_operation_xyz
'x,y,z'
loop_
_atom_site_label
_atom_site_type_symbol
_atom_site_fract_x
_atom_site_fract_y
_atom_site_fract_z
Na1 Na 0.222 0.778 0.750
Na2 Na 0.778 0.222 0.250
Y1 Y 0.500 0.500 0.000
Y2 Y 0.500 0.500 0.500
Zn1 Zn 0.055 0.945 0.250
Zn2 Zn 0.945 0.055 0.750
O1 O 0.129 0.871 0.064
O2 O 0.129 0.871 0.436
O3 O 0.443 0.557 0.250
O4 O 0.557 0.443 0.750
O5 O 0.871 0.129 0.564
O6 O 0.871 0.129 0.936
# **Calculated density**: 4.45 Mg/m³
# **Magnetization**: 0.005 μB/cell
# **Crystal system**: orthorhombic
# **Symmetry**: Cmcm (63)
# **Electronic total energy**: -6.109 eV per atom

# GGA-PBE Na2Zn2O5, optimized geometry
data_Na2Zn2O5
_chemical_formula_sum 'Na2 Zn2 O5'
_cell_length_a 4.065
_cell_length_b 4.065
_cell_length_c 6.618
_cell_angle_alpha 90.00
_cell_angle_beta 90.00
_cell_angle_gamma 90.00
_space_group_name_H-M_alt 'P 1'
_space_group_IT_number 1
loop_
_space_group_symop_operation_xyz
'x,y,z'
loop_
_atom_site_label
_atom_site_type_symbol
_atom_site_fract_x
_atom_site_fract_y
_atom_site_fract_z
Na1 Na 0.000 0.000 0.000
Na2 Na 0.000 0.000 0.500
Zn1 Zn 0.500 0.500 0.218
Zn2 Zn 0.500 0.500 0.782
O1 O 0.000 0.500 0.118
O2 O 0.000 0.500 0.882
O3 O 0.500 0.000 0.118
O4 O 0.500 0.000 0.882
O5 O 0.500 0.500 0.500
# **Calculated density**: 3.90 Mg/m³
# **ΔE to the lowest computed polymorph**: 0.000 eV per atom
# **Crystal system**: tetragonal
# **Symmetry**: P4/mmm (123)
# **Electronic total energy**: -4.176 eV per atom

# GGA-PBE Na2ZnO2, optimized geometry
data_Na2ZnO2
_chemical_formula_sum 'Na4 Zn2 O4'
_cell_length_a 5.749
_cell_length_b 2.976
_cell_length_c 7.914
_cell_angle_alpha 90.00
_cell_angle_beta 107.74
_cell_angle_gamma 90.00
_space_group_name_H-M_alt 'P 1'
_space_group_IT_number 1
loop_
_space_group_symop_operation_xyz
'x,y,z'
loop_
_atom_site_label
_atom_site_type_symbol
_atom_site_fract_x
_atom_site_fract_y
_atom_site_fract_z
Na1 Na 0.100 0.250 0.372
Na2 Na 0.171 0.250 0.944
Na3 Na 0.829 0.750 0.056
Na4 Na 0.900 0.750 0.628
Zn1 Zn 0.475 0.750 0.733
Zn2 Zn 0.525 0.250 0.267
O1 O 0.231 0.250 0.675
O2 O 0.261 0.750 0.182
O3 O 0.739 0.250 0.818
O4 O 0.769 0.750 0.325
# **Calculated density**: 3.69 Mg/m³
# **Crystal system**: monoclinic
# **Symmetry**: P2_1/m (11)
# **Electronic total energy**: -4.004 eV per atom

# GGA-PBE Na2Zn2O5, optimized geometry
data_Na2Zn2O5
_chemical_formula_sum 'Na2 Zn2 O5'
_cell_length_a 4.048
_cell_length_b 4.048
_cell_length_c 5.979
_cell_angle_alpha 90.00
_cell_angle_beta 90.00
_cell_angle_gamma 90.00
_space_group_name_H-M_alt 'P 1'
_space_group_IT_number 1
loop_
_space_group_symop_operation_xyz
'x,y,z'
loop_
_atom_site_label
_atom_site_type_symbol
_atom_site_fract_x
_atom_site_fract_y
_atom_site_fract_z
Na1 Na 0.000 0.000 0.169
Na2 Na 0.000 0.000 0.831
Zn1 Zn 0.500 0.500 0.000
Zn2 Zn 0.500 0.500 0.500
O1 O 0.000 0.000 0.500
O2 O 0.000 0.500 0.223
O3 O 0.000 0.500 0.777
O4 O 0.500 0.000 0.223
O5 O 0.500 0.000 0.777
# **Calculated density**: 4.35 Mg/m³
# **ΔE to the lowest computed polymorph**: 0.988 eV per atom
# **Crystal system**: tetragonal
# **Symmetry**: P4/mmm (123)
# **Electronic total energy**: -3.187 eV per atom

# GGA-PBE Na2Zn2O5, optimized geometry
data_Na2Zn2O5
_chemical_formula_sum 'Na2 Zn2 O5'
_cell_length_a 3.621
_cell_length_b 3.621
_cell_length_c 8.266
_cell_angle_alpha 90.00
_cell_angle_beta 90.00
_cell_angle_gamma 90.00
_space_group_name_H-M_alt 'P 1'
_space_group_IT_number 1
loop_
_space_group_symop_operation_xyz
'x,y,z'
loop_
_atom_site_label
_atom_site_type_symbol
_atom_site_fract_x
_atom_site_fract_y
_atom_site_fract_z
Na1 Na 0.000 0.000 0.000
Na2 Na 0.000 0.000 0.500
Zn1 Zn 0.500 0.500 0.232
Zn2 Zn 0.500 0.500 0.768
O1 O 0.000 0.500 0.309
O2 O 0.000 0.500 0.691
O3 O 0.500 0.000 0.309
O4 O 0.500 0.000 0.691
O5 O 0.500 0.500 0.000
# **Calculated density**: 3.94 Mg/m³
# **ΔE to the lowest computed polymorph**: 0.120 eV per atom
# **Crystal system**: tetragonal
# **Symmetry**: P4/mmm (123)
# **Electronic total energy**: -4.056 eV per atom

# GGA-PBE Na11Zn2O8, optimized geometry
data_Na11Zn2O8
_chemical_formula_sum 'Na11 Zn2 O8'
_cell_length_a 7.304
_cell_length_b 7.304
_cell_length_c 5.452
_cell_angle_alpha 90.77
_cell_angle_beta 90.77
_cell_angle_gamma 93.95
_space_group_name_H-M_alt 'P 1'
_space_group_IT_number 1
loop_
_space_group_symop_operation_xyz
'x,y,z'
loop_
_atom_site_label
_atom_site_type_symbol
_atom_site_fract_x
_atom_site_fract_y
_atom_site_fract_z
Na1 Na 0.000 0.000 0.000
Na2 Na 0.024 0.576 0.990
Na3 Na 0.222 0.275 0.402
Na4 Na 0.278 0.323 0.914
Na5 Na 0.424 0.976 0.010
Na6 Na 0.493 0.507 0.500
Na7 Na 0.514 0.077 0.520
Na8 Na 0.677 0.722 0.086
Na9 Na 0.725 0.778 0.598
Na10 Na 0.923 0.486 0.480
Na11 Na 0.926 0.074 0.500
Zn1 Zn 0.212 0.788 0.500
Zn2 Zn 0.722 0.278 0.000
O1 O 0.206 0.540 0.651
O2 O 0.216 0.035 0.686
O3 O 0.460 0.794 0.349
O4 O 0.495 0.272 0.203
O5 O 0.716 0.028 0.829
O6 O 0.728 0.505 0.797
O7 O 0.965 0.784 0.314
O8 O 0.972 0.284 0.171
# **Calculated density**: 2.93 Mg/m³
# **ΔE to the lowest computed polymorph**: 0.016 eV per atom
# **Crystal system**: monoclinic
# **Symmetry**: C2 (5)
# **Electronic total energy**: -3.917 eV per atom